[1]
Sr2Ga2Rh after structural relaxation. Source: the Alexandria database, functional PBE.

POSCAR file:
```
Sr2Ga2Rh
1.0
6.9951 0.0000 0.0000
0.0000 6.9951 0.0000
0.0000 0.0000 5.0229
Sr Rh Ga
4 2 4
Direct
0.1850 0.6850 0.5000
0.6850 0.8150 0.5000
0.8150 0.3150 0.5000
0.3150 0.1850 0.5000
0.0000 0.0000 0.0000
0.5000 0.5000 0.0000
0.3672 0.8672 0.0000
0.8672 0.6328 0.0000
0.6328 0.1328 0.0000
0.1328 0.3672 0.0000
```

Properties
* D(E_F): 7.0 states/eV per cell
* ΔH_f (0 K): -0.308 eV per atom
* E above lowest polymorph: 0.210 eV/atom

---

[2]
AlHgPb2 after structural relaxation. Source: the Alexandria database, functional PBE.

POSCAR file:
```
AlHgPb2
1.0
7.4477 1.3676 -0.1105
4.3397 6.2052 0.1105
-5.4099 -4.5394 2.7343
Pb Hg Al
2 1 1
Direct
0.9371 0.9371 0.0000
0.5629 0.5629 0.0000
0.2500 0.7500 0.5000
0.7500 0.2500 0.5000
```

Properties
* D(E_F): 2.0 states/eV per cell
* ΔH_f (0 K): 0.132 eV per atom
* E above lowest polymorph: 0.010 eV/atom

---

[3]
BaPr2Sc after structural relaxation. Source: the Alexandria database, functional PBE.

POSCAR file:
```
BaPr2Sc
1.0
3.6517 0.0000 0.0000
1.8259 3.1625 0.0000
1.8259 1.0542 12.8792
Pr Sc Ba
2 1 1
Direct
0.0965 0.0965 0.7106
0.9035 0.9035 0.2894
0.5000 0.5000 0.5000
0.0000 0.0000 0.0000
```

Properties
* D(E_F): 7.2 states/eV per cell
* ΔH_f (0 K): 0.242 eV per atom
* E above lowest polymorph: 0.128 eV/atom

---

[4]
MgZn2Mo after structural relaxation. Source: the Alexandria database, functional PBE.

POSCAR file:
```
MgZn2Mo
1.0
4.0163 0.0000 0.0000
0.0000 4.0167 0.0000
0.0000 0.0000 3.8248
Mg Mo Zn
1 1 2
Direct
0.5000 0.0000 0.5000
0.0000 0.5000 0.5000
0.0000 0.0000 0.0000
0.5000 0.5000 0.0000
```

Properties
* D(E_F): 1.5 states/eV per cell
* ΔH_f (0 K): 0.035 eV per atom

---

[5]
Sc2ZnCd after structural relaxation. Source: the Alexandria database, functional PBE.

POSCAR file:
```
Sc2ZnCd
1.0
-1.3791 -2.0201 2.3310
0.7958 -2.6985 -1.8678
6.3143 -0.4524 3.3438
Sc Zn Cd
2 1 1
Direct
0.0000 0.0000 0.0221
0.0000 0.0000 0.4779
0.5000 0.5000 0.2500
0.5000 0.5000 0.7500
```

Properties
* D(E_F): 3.5 states/eV per cell
* ΔH_f (0 K): -0.335 eV per atom